Entry from the Alexandria database: HoHfNiAu after structural relaxation (GGA-PBE).

```
HoHfNiAu
1.0
0.000 3.394 3.394
3.394 0.000 3.394
3.394 3.394 0.000
Ho Hf Ni Au
1 1 1 1
direct
0.000 0.000 0.000
0.500 0.500 0.500
0.250 0.250 0.250
0.750 0.750 0.750
```

Fermi-level density of states: 2.27 states/eV per cell
Total moment: 0.000 μB per cell
Crystal system: cubic
Formation enthalpy at 0 K: -0.425 eV/atom
SG: F-43m (216)



Entry from the Alexandria database: Cu5SiTe4I2 after structural relaxation (GGA-PBE).

```
Cu5SiTe4I2
1.0
7.839 0.000 0.000
0.000 6.035 3.304
0.000 -6.035 3.304
Cu Si Te I
5 1 4 2
direct
0.000 0.000 0.000
0.303 0.373 0.685
0.303 0.685 0.373
0.697 0.373 0.685
0.697 0.685 0.373
0.500 0.054 0.054
0.240 0.277 0.277
0.500 0.026 0.666
0.500 0.666 0.026
0.760 0.277 0.277
0.000 0.566 0.895
0.000 0.895 0.566
```

Fermi-level density of states: 8.26 states/eV per cell
ΔE_f (raw): -0.016 eV per atom
Total moment: 0.000 μB per cell
Crystal system: orthorhombic
SG: Amm2 (38)



Entry from the Alexandria database: BaCe2Pt9 after structural relaxation (GGA-PBE).

```
BaCe2Pt9
1.0
2.770 1.599 8.889
-2.770 1.599 8.889
0.000 -3.198 8.889
Ba Ce Pt
1 2 9
direct
0.000 0.000 0.000
0.140 0.140 0.140
0.860 0.860 0.860
0.081 0.588 0.588
0.332 0.332 0.332
0.412 0.412 0.919
0.412 0.919 0.412
0.500 0.500 0.500
0.588 0.081 0.588
0.588 0.588 0.081
0.668 0.668 0.668
0.919 0.412 0.412
```

Fermi-level density of states: 15.13 states/eV per cell
Total moment: 1.302 μB per cell
Crystal system: trigonal
Formation enthalpy at 0 K: -0.803 eV/atom
SG: R-3m (166)



Entry from the Alexandria database: LaW after structural relaxation (GGA-PBE).

```
LaW
1.0
3.641 0.000 0.000
0.000 3.641 0.000
0.000 0.000 3.641
La W
1 1
direct
0.000 0.000 0.000
0.500 0.500 0.500
```

Fermi-level density of states: 2.21 states/eV per cell
Total moment: 1.578 μB per cell
Crystal system: cubic
Formation enthalpy at 0 K: 1.119 eV/atom
SG: Pm-3m (221)